No. 1
First-principles (meta-GGA SCAN) data for a crystal of YAg4Au relaxed with PBEsol, as listed in Alexandria via LeMat-Bulk.

Calculated values
The energy of formation from the pure elements is -6.41 kcal/mol of atoms. The total magnetization is 0.0 μB per formula unit. For the density of states at the Fermi level, the calculation gives 0.61 states/eV/atom.

a = 7.626 Å, b = 7.626 Å, c = 7.626 Å
α = 90.00°, β = 90.00°, γ = 90.00°
Space group F-43m (No. 216)
One atom of each set of equivalent atoms:
Y (0.000, 0.000, 0.000)
Ag (0.125, 0.125, 0.625)
Au (0.250, 0.250, 0.250)

---

No. 2
First-principles (meta-GGA SCAN) data for a crystal of YMg2W relaxed with PBEsol, as listed in Alexandria via LeMat-Bulk.

Calculated values
The energy of formation from the pure elements is 12.57 kcal/mol of atoms. The total magnetization is 0.0 μB per formula unit. For the density of states at the Fermi level, the calculation gives 0.78 states/eV/atom. The calculation puts the excess energy over the best structure of this formula in the dataset at 0.073 eV per atom.

a = 5.887 Å, b = 10.535 Å, c = 2.892 Å
α = 90.00°, β = 113.76°, γ = 90.00°
Space group C2/m (No. 12)
One atom of each set of equivalent atoms:
Y (0.000, 0.000, 0.000)
Mg (0.250, 0.250, 0.500)
W (0.000, 0.500, 0.000)

---

No. 3
First-principles (meta-GGA SCAN) data for a crystal of ZrSc2Ni relaxed with PBEsol, as listed in Alexandria via LeMat-Bulk.

Calculated values
The energy of formation from the pure elements is -5.27 kcal/mol of atoms. The total magnetization is 0.0 μB per formula unit. For the density of states at the Fermi level, the calculation gives 1.08 states/eV/atom. The calculation puts the excess energy over the best structure of this formula in the dataset at 0.000 eV per atom.

a = 3.181 Å, b = 3.181 Å, c = 7.461 Å
α = 90.00°, β = 90.00°, γ = 90.00°
Space group P4/mmm (No. 123)
One atom of each set of equivalent atoms:
Zr (0.000, 0.000, 0.000)
Sc (0.500, 0.500, 0.298)
Ni (0.000, 0.000, 0.500)

---

No. 4
First-principles (meta-GGA SCAN) data for a crystal of W5O12F relaxed with PBEsol, as listed in Alexandria via LeMat-Bulk.

Calculated values
The total magnetization is 2.3 μB per formula unit. For the density of states at the Fermi level, the calculation gives 0.21 states/eV/atom. For the total energy, the calculation gives -25.83 eV per atom.

a = 17.735 Å, b = 3.790 Å, c = 6.257 Å
α = 90.00°, β = 90.00°, γ = 90.00°
Space group Pmma (No. 51)
One atom of each set of equivalent atoms:
W (0.062, 0.000, 0.199)
W (0.148, 0.000, 0.738)
W (0.250, 0.000, 0.289)
O (0.048, 0.000, 0.879)
O (0.060, 0.500, 0.203)
O (0.141, 0.000, 0.417)
O (0.147, 0.500, 0.736)
O (0.169, 0.000, 0.055)
O (0.250, 0.000, 0.615)
O (0.250, 0.500, 0.289)
F (0.000, 0.000, 0.500)

---

Q: Among the records above, which one has the lowest density of states at the Fermi level?
A: W5O12F

---

Q: Which of these has the highest density of states at the Fermi level?
A: ZrSc2Ni

---

Q: Among the records above, which one has the highest density of states at the Fermi level?
A: ZrSc2Ni

---

Q: Number 4 is which compound?
A: W5O12F